# 1
! CePu4 | the Alexandria database | GGA-PBE | relaxed; values from VASP
! * DOS at the Fermi energy: 18.4 states/eV/f.u.
! * spin magnetization: 12.24 μB/cell
! * ΔH_f (0 K): 0.298 eV/atom
! * E_tot: -12.354 eV/atom
! * SG: R-3m
&SYSTEM
  ibrav = 0, nat = 5, ntyp = 2
/
ATOMIC_SPECIES
Ce 140.12 Ce.upf
Pu 244.00 Pu.upf
CELL_PARAMETERS angstrom
1.877 1.084 9.833
-1.877 1.084 9.833
0.000 -2.168 9.833
ATOMIC_POSITIONS crystal
Ce 0.000 0.000 0.000
Pu 0.181 0.181 0.181
Pu 0.416 0.416 0.416
Pu 0.584 0.584 0.584
Pu 0.819 0.819 0.819

# 2
! CePu3 | the Alexandria database | GGA-PBE | relaxed; values from VASP
! * DOS at the Fermi energy: 14.6 states/eV/f.u.
! * spin magnetization: 5.31 μB/cell
! * ΔH_f (0 K): 0.180 eV/atom
! * E_tot: -12.052 eV/atom
! * SG: Immm
&SYSTEM
  ibrav = 0, nat = 4, ntyp = 2
/
ATOMIC_SPECIES
Ce 140.12 Ce.upf
Pu 244.00 Pu.upf
CELL_PARAMETERS angstrom
-1.647 2.620 5.679
1.647 -2.620 5.679
1.647 2.620 -5.679
ATOMIC_POSITIONS crystal
Ce 0.000 0.000 0.000
Pu 0.279 0.779 0.500
Pu 0.500 0.500 0.000
Pu 0.721 0.221 0.500

# 3
! Ce3Pu2 | the Alexandria database | GGA-PBE | relaxed; values from VASP
! * DOS at the Fermi energy: 10.8 states/eV/f.u.
! * spin magnetization: 12.62 μB/cell
! * ΔH_f (0 K): 0.159 eV/atom
! * E_tot: -9.134 eV/atom
! * SG: R-3m
&SYSTEM
  ibrav = 0, nat = 5, ntyp = 2
/
ATOMIC_SPECIES
Ce 140.12 Ce.upf
Pu 244.00 Pu.upf
CELL_PARAMETERS angstrom
3.416 1.972 3.332
-3.416 1.972 3.332
0.000 -3.945 3.332
ATOMIC_POSITIONS crystal
Ce 0.000 0.500 0.500
Ce 0.500 0.000 0.500
Ce 0.500 0.500 0.000
Pu 0.146 0.146 0.146
Pu 0.854 0.854 0.854

# 4
! CePu3 | the Alexandria database | GGA-PBE | relaxed; values from VASP
! * DOS at the Fermi energy: 21.5 states/eV/f.u.
! * spin magnetization: 19.49 μB/cell
! * ΔH_f (0 K): 0.273 eV/atom
! * E_tot: -11.959 eV/atom
! * SG: Fm-3m
&SYSTEM
  ibrav = 0, nat = 4, ntyp = 2
/
ATOMIC_SPECIES
Ce 140.12 Ce.upf
Pu 244.00 Pu.upf
CELL_PARAMETERS angstrom
0.000 3.792 3.792
3.792 0.000 3.792
3.792 3.792 0.000
ATOMIC_POSITIONS crystal
Ce 0.000 0.000 0.000
Pu 0.250 0.250 0.250
Pu 0.500 0.500 0.500
Pu 0.750 0.750 0.750

# 5
! Ce5Pu2 | the Alexandria database | GGA-PBE | relaxed; values from VASP
! * DOS at the Fermi energy: 16.6 states/eV/f.u.
! * spin magnetization: 9.13 μB/cell
! * ΔH_f (0 K): 0.048 eV/atom
! * E_tot: -8.286 eV/atom
! * SG: C2/m
&SYSTEM
  ibrav = 0, nat = 7, ntyp = 2
/
ATOMIC_SPECIES
Ce 140.12 Ce.upf
Pu 244.00 Pu.upf
CELL_PARAMETERS angstrom
5.206 -2.354 0.000
5.206 2.354 0.000
-1.015 0.000 7.260
ATOMIC_POSITIONS crystal
Ce 0.000 0.000 0.000
Ce 0.144 0.144 0.423
Ce 0.427 0.427 0.282
Ce 0.573 0.573 0.718
Ce 0.856 0.856 0.577
Pu 0.283 0.283 0.860
Pu 0.717 0.717 0.140

# 6
! Ce3Pu | the Alexandria database | GGA-PBE | relaxed; values from VASP
! * DOS at the Fermi energy: 10.4 states/eV/f.u.
! * spin magnetization: 5.07 μB/cell
! * ΔH_f (0 K): 0.033 eV/atom
! * E_tot: -8.001 eV/atom
! * SG: Pm-3m
&SYSTEM
  ibrav = 0, nat = 4, ntyp = 2
/
ATOMIC_SPECIES
Ce 140.12 Ce.upf
Pu 244.00 Pu.upf
CELL_PARAMETERS angstrom
4.669 0.000 0.000
0.000 4.669 0.000
0.000 0.000 4.669
ATOMIC_POSITIONS crystal
Ce 0.000 0.000 0.500
Ce 0.000 0.500 0.000
Ce 0.500 0.000 0.000
Pu 0.500 0.500 0.500

# 7
! CePu3 | the Alexandria database | GGA-PBE | relaxed; values from VASP
! * DOS at the Fermi energy: 19.0 states/eV/f.u.
! * spin magnetization: 35.09 μB/cell
! * ΔH_f (0 K): 0.256 eV/atom
! * E_tot: -11.977 eV/atom
! * SG: P6_3/mmc
&SYSTEM
  ibrav = 0, nat = 8, ntyp = 2
/
ATOMIC_SPECIES
Ce 140.12 Ce.upf
Pu 244.00 Pu.upf
CELL_PARAMETERS angstrom
6.869 0.000 0.000
-3.435 5.949 0.000
0.000 0.000 5.174
ATOMIC_POSITIONS crystal
Ce 0.333 0.667 0.250
Ce 0.667 0.333 0.750
Pu 0.165 0.330 0.750
Pu 0.165 0.835 0.750
Pu 0.330 0.165 0.250
Pu 0.670 0.835 0.750
Pu 0.835 0.165 0.250
Pu 0.835 0.670 0.250

# 8
! CePu2 | the Alexandria database | GGA-PBE | relaxed; values from VASP
! * DOS at the Fermi energy: 13.5 states/eV/f.u.
! * spin magnetization: 21.34 μB/cell
! * ΔH_f (0 K): 0.260 eV/atom
! * E_tot: -11.273 eV/atom
! * SG: Fd-3m
&SYSTEM
  ibrav = 0, nat = 6, ntyp = 2
/
ATOMIC_SPECIES
Ce 140.12 Ce.upf
Pu 244.00 Pu.upf
CELL_PARAMETERS angstrom
0.000 4.280 4.280
4.280 0.000 4.280
4.280 4.280 0.000
ATOMIC_POSITIONS crystal
Ce 0.125 0.125 0.125
Ce 0.875 0.875 0.875
Pu 0.000 0.500 0.500
Pu 0.500 0.000 0.500
Pu 0.500 0.500 0.000
Pu 0.500 0.500 0.500

Repeat the eighth record exactly.
! CePu2 | the Alexandria database | GGA-PBE | relaxed; values from VASP
! * DOS at the Fermi energy: 13.5 states/eV/f.u.
! * spin magnetization: 21.34 μB/cell
! * ΔH_f (0 K): 0.260 eV/atom
! * E_tot: -11.273 eV/atom
! * SG: Fd-3m
&SYSTEM
  ibrav = 0, nat = 6, ntyp = 2
/
ATOMIC_SPECIES
Ce 140.12 Ce.upf
Pu 244.00 Pu.upf
CELL_PARAMETERS angstrom
0.000 4.280 4.280
4.280 0.000 4.280
4.280 4.280 0.000
ATOMIC_POSITIONS crystal
Ce 0.125 0.125 0.125
Ce 0.875 0.875 0.875
Pu 0.000 0.500 0.500
Pu 0.500 0.000 0.500
Pu 0.500 0.500 0.000
Pu 0.500 0.500 0.500